[1]
Entry from the Alexandria database: a geometry-optimized TlFe2Te structure (GGA-PBE).

extended XYZ file:
```
4
Lattice="4.0418 0.0000 0.0000 0.0000 3.7391 0.0037 0.0000 1.8612 5.0865" Properties=species:S:1:pos:R:3 pbc="T T T"
Fe 0.0000 2.5628 5.0870
Fe 2.0209 0.6995 1.3657
Te 0.0000 2.5700 2.0481
Tl 2.0209 4.4294 4.2211
```

Computed properties:
Space group ... No. 6


[2]
Entry from the Alexandria database: a geometry-optimized Tl2FeTe structure (GGA-PBE).

extended XYZ file:
```
4
Lattice="4.0943 -0.0925 0.0730 2.1362 3.4940 0.0730 1.9080 1.0417 7.7049" Properties=species:S:1:pos:R:3 pbc="T T T"
Fe 4.0724 2.2233 3.7724
Te 2.0189 1.1022 2.6006
Tl 6.2292 3.4009 0.1514
Tl 6.1177 3.3400 5.3979
```

Computed properties:
Space group ... No. 8


[3]
Entry from the Alexandria database: a geometry-optimized Tl2FeTe structure (GGA-PBE).

extended XYZ file:
```
8
Lattice="5.0930 0.0000 0.0000 0.0000 5.0930 0.0000 2.5465 2.5465 9.2723" Properties=species:S:1:pos:R:3 pbc="T T T"
Tl 3.4272 1.2733 2.3181
Tl 1.6658 3.8198 2.3181
Tl 3.8198 4.2123 6.9543
Tl 6.3663 5.9737 6.9543
Te 0.0000 0.0000 0.0000
Te 5.0930 2.5465 4.6362
Fe 2.5465 2.5465 0.0000
Fe 2.5465 5.0930 4.6362
```

Computed properties:
Space group ... No. 122


[4]
Entry from the Alexandria database: a geometry-optimized TlFe2Te2 structure (GGA-PBE).

extended XYZ file:
```
10
Lattice="8.6142 0.0000 0.0000 0.0000 8.6142 0.0000 0.0000 0.0000 3.3540" Properties=species:S:1:pos:R:3 pbc="T T T"
Tl 0.0000 0.0000 0.0000
Tl 4.3071 4.3071 0.0000
Te 3.0135 7.3206 0.0000
Te 7.3206 5.6008 0.0000
Te 5.6008 1.2937 0.0000
Te 1.2937 3.0135 0.0000
Fe 0.8191 5.1262 1.6770
Fe 5.1262 7.7951 1.6770
Fe 7.7951 3.4880 1.6770
Fe 3.4880 0.8191 1.6770
```

Computed properties:
Space group ... No. 127


[5]
Entry from the Alexandria database: a geometry-optimized TlFe2Te structure (GGA-PBE).

extended XYZ file:
```
4
Lattice="4.7825 0.0039 -0.0980 3.6923 3.0395 -0.0980 3.6998 1.3287 6.0147" Properties=species:S:1:pos:R:3 pbc="T T T"
Fe 0.6445 0.2314 0.6630
Fe 5.4428 1.9546 2.2464
Te 3.0436 1.0930 1.4547
Tl 9.1309 3.2790 4.3641
```

Computed properties:
Space group ... No. 12


[6]
Entry from the Alexandria database: a geometry-optimized TlFe2Te structure (GGA-PBE).

extended XYZ file:
```
4
Lattice="-2.0207 0.4668 -2.6244 -2.3282 -1.9128 1.4524 -2.6451 5.5103 3.0169" Properties=species:S:1:pos:R:3 pbc="T T T"
Fe -0.1540 0.3208 0.1756
Fe -1.1685 2.4343 1.3328
Te -2.8357 0.6546 0.1683
Tl -4.1583 3.4097 1.6767
```

Computed properties:
Space group ... No. 123


[7]
Entry from the Alexandria database: a geometry-optimized Tl2FeTe structure (GGA-PBE).

extended XYZ file:
```
4
Lattice="3.2073 0.0000 0.0000 0.0000 5.4418 0.0000 0.0000 0.0000 5.9974" Properties=species:S:1:pos:R:3 pbc="T T T"
Fe 1.6037 2.7209 1.4994
Te 1.6037 2.7209 4.4981
Tl 0.0000 0.0000 0.0334
Tl 0.0000 0.0000 2.9654
```

Computed properties:
Space group ... No. 47


[8]
Entry from the Alexandria database: a geometry-optimized TlFe2Te structure (GGA-PBE).

extended XYZ file:
```
8
Lattice="6.9375 0.0000 0.0000 0.0000 6.9375 0.0000 3.4687 3.4687 3.1659" Properties=species:S:1:pos:R:3 pbc="T T T"
Tl 0.0000 0.0000 0.0000
Tl 6.9375 3.4687 1.5829
Te 3.4687 3.4687 0.0000
Te 3.4687 6.9375 1.5829
Fe 4.9519 1.7344 0.7915
Fe 1.9856 5.2031 0.7915
Fe 5.2031 5.4543 2.3744
Fe 8.6718 8.4206 2.3744
```

Computed properties:
Space group ... No. 122


[9]
Entry from the Alexandria database: a geometry-optimized TlFe2Te structure (GGA-PBE).

extended XYZ file:
```
4
Lattice="-0.9072 1.1006 -5.5456 2.9600 -2.6180 -4.1441 -2.9304 -1.2547 4.7568" Properties=species:S:1:pos:R:3 pbc="T T T"
Fe 0.0000 0.0000 0.0000
Fe 0.5280 -2.3157 -2.1161
Te 1.0264 -0.7587 -4.8449
Tl -1.4056 -0.4564 -2.8169
```

Computed properties:
Space group ... No. 119


[10]
Entry from the Alexandria database: a geometry-optimized Tl2FeTe structure (GGA-PBE).

extended XYZ file:
```
4
Lattice="-0.6663 -4.6954 -2.3435 2.7844 -1.2133 -4.3310 3.8237 -3.6469 0.2494" Properties=species:S:1:pos:R:3 pbc="T T T"
Fe 2.9709 -4.7778 -3.2126
Te 4.4563 -7.1667 -4.8189
Tl 0.0000 0.0000 0.0000
Tl 1.4854 -2.3889 -1.6063
```

Computed properties:
Space group ... No. 216


[11]
Entry from the Alexandria database: a geometry-optimized TlFe2Te structure (GGA-PBE).

extended XYZ file:
```
4
Lattice="4.8233 0.0000 0.0000 2.4117 4.1771 0.0000 2.4117 1.3924 3.9382" Properties=species:S:1:pos:R:3 pbc="T T T"
Fe 0.0000 0.0000 0.0000
Fe 2.4117 1.3924 0.9846
Te 4.8233 2.7848 1.9691
Tl 7.2350 4.1771 2.9537
```

Computed properties:
Space group ... No. 216


[12]
Entry from the Alexandria database: a geometry-optimized Tl2FeTe structure (GGA-PBE).

extended XYZ file:
```
4
Lattice="-7.4306 1.2275 -0.4948 -6.2078 -4.1799 0.9786 6.5525 3.0937 2.1117" Properties=species:S:1:pos:R:3 pbc="T T T"
Fe -6.4659 -1.3997 0.2293
Te -4.3495 -1.5220 1.7055
Tl -0.1748 -0.0378 0.0062
Tl -2.9148 1.6246 0.8962
```

Computed properties:
Space group ... No. 44


no.,theoretical density (g/cm3),uncorrected energy (eV per cell),energy above the lowest structure with this stoichiometry (meV per atom)
1,9.59,-21.13,54
2,8.85,-15.56,0
3,8.18,-28.39,340
4,7.62,-47.48,303
5,8.32,-20.78,142
6,9.66,-20.22,281
7,9.39,-14.21,336
8,9.67,-37.22,684
9,9.57,-19.82,382
10,9.40,-14.26,324
11,9.29,-19.19,540
12,9.11,-15.38,45